The following is a PBE-GGA calculation of a relaxed LiTm3Zn2 crystal, from Alexandria via LeMat-Bulk.

It has space group Cmmm (No. 65), with a = 4.997 Å, b = 15.028 Å, c = 3.575 Å, α = 90.00°, β = 90.00° and γ = 90.00°. The distinct sites, in fractional coordinates, are Li at (0.000, 0.000, 0.000), Tm at (0.000, 0.172, 0.500), Tm at (0.000, 0.500, 0.500) and Zn at (0.000, 0.339, 0.000).

For the total energy, the calculation gives -3.1808 eV/atom. As for the density of states at the Fermi level: 7.045 states/eV/f.u. The calculation puts the energy of formation at -201 meV/atom.

The following is a PBE-GGA calculation of a relaxed Ba6CdRh2 crystal, from Alexandria via LeMat-Bulk.

It has space group C2/m (No. 12), with a = 15.326 Å, b = 6.122 Å, c = 10.671 Å, α = 90.00°, β = 119.68° and γ = 90.00°. The distinct sites, in fractional coordinates, are Ba at (0.022, 0.000, 0.196), Ba at (0.159, 0.500, 0.596), Ba at (0.205, 0.500, 0.086), Cd at (0.000, 0.000, 0.500) and Rh at (0.178, 0.000, 0.101).

For the total energy, the calculation gives -3.1681 eV/atom. As for the density of states at the Fermi level: 7.012 states/eV/f.u. As for the distance to the lowest polymorph of the same formula: 0.307 eV/f.u. The calculation puts the energy of formation at -151 meV/atom.

The following is a PBE-GGA calculation of a relaxed La5Tb6Mg2 crystal, from Alexandria via LeMat-Bulk.

It has space group Pbam (No. 55), with a = 10.718 Å, b = 22.729 Å, c = 3.578 Å, α = 90.00°, β = 90.00° and γ = 90.00°. The distinct sites, in fractional coordinates, are La at (0.000, 0.000, 0.000), La at (0.084, 0.252, 0.000), La at (0.171, 0.504, 0.000), Tb at (0.020, 0.387, 0.500), Tb at (0.144, 0.118, 0.500), Tb at (0.168, 0.864, 0.000) and Mg at (0.166, 0.736, 0.500).

For the total energy, the calculation gives -4.1474 eV/atom. As for the density of states at the Fermi level: 20.943 states/eV/f.u. The calculation puts the energy of formation at 130 meV/atom.

The following is a PBE-GGA calculation of a relaxed Tb2PmPr2Dy crystal, from Alexandria via LeMat-Bulk.

It has space group Pmma (No. 51), with a = 7.058 Å, b = 5.735 Å, c = 9.940 Å, α = 90.00°, β = 90.00° and γ = 90.00°. The distinct sites, in fractional coordinates, are Tb at (0.250, 0.000, 0.166), Tb at (0.250, 0.500, 0.667), Pm at (0.000, 0.000, 0.500), Pr at (0.000, 0.500, 0.000), Pr at (0.250, 0.000, 0.829) and Dy at (0.250, 0.500, 0.336).

For the total energy, the calculation gives -4.6319 eV/atom. As for the density of states at the Fermi level: 8.795 states/eV/f.u. The calculation puts the energy of formation at 63 meV/atom.

Please write out number 2 again, unchanged.
The following is a PBE-GGA calculation of a relaxed Ba6CdRh2 crystal, from Alexandria via LeMat-Bulk.

It has space group C2/m (No. 12), with a = 15.326 Å, b = 6.122 Å, c = 10.671 Å, α = 90.00°, β = 119.68° and γ = 90.00°. The distinct sites, in fractional coordinates, are Ba at (0.022, 0.000, 0.196), Ba at (0.159, 0.500, 0.596), Ba at (0.205, 0.500, 0.086), Cd at (0.000, 0.000, 0.500) and Rh at (0.178, 0.000, 0.101).

For the total energy, the calculation gives -3.1681 eV/atom. As for the density of states at the Fermi level: 7.012 states/eV/f.u. As for the distance to the lowest polymorph of the same formula: 0.307 eV/f.u. The calculation puts the energy of formation at -151 meV/atom.